BaSc4Au3O12 after structural relaxation, computed with PBE-GGA.

Summary:
Symmetry: No. 204
Calculated total energy: -6.893 eV/atom
Formation energy (no corrections): -2.064 eV per atom

Cell and atoms, written as POSCAR:
```
BaSc4Au3O12
1.0
6.919 0.000 0.000
-2.306 6.523 0.000
-2.306 -3.262 5.649
O Sc Ba Au
12 4 1 3
direct
0.172 0.861 0.689 O
0.861 0.689 0.172 O
0.311 0.172 0.483 O
0.828 0.139 0.311 O
0.172 0.483 0.311 O
0.517 0.689 0.828 O
0.139 0.311 0.828 O
0.483 0.311 0.172 O
0.311 0.828 0.139 O
0.689 0.172 0.861 O
0.689 0.828 0.517 O
0.828 0.517 0.689 O
0.500 0.500 0.500 Sc
0.000 0.500 0.000 Sc
0.500 0.000 0.000 Sc
0.000 0.000 0.500 Sc
0.000 0.000 0.000 Ba
0.500 0.000 0.500 Au
0.000 0.500 0.500 Au
0.500 0.500 0.000 Au
```

=====

RuRhSN2 after structural relaxation, computed with PBE-GGA.

Summary:
Symmetry: No. 123
Distance to the lowest polymorph of the same formula: 434 meV per atom
Calculated total energy: -6.038 eV/atom
Formation energy (no corrections): 1.443 eV per atom

Cell and atoms, written as POSCAR:
```
RuRhSN2
1.0
-2.248 0.949 -2.755
-2.913 -0.650 2.153
0.108 5.531 1.817
Rh N S Ru
1 2 1 1
direct
0.000 0.000 0.000 Rh
0.000 0.500 0.000 N
0.500 0.000 0.000 N
0.000 0.000 0.500 S
0.500 0.500 0.500 Ru
```

=====

Ba3TiPd after structural relaxation, computed with PBE-GGA.

Summary:
Symmetry: No. 221
Distance to the lowest polymorph of the same formula: 0 meV per atom
ΔH_f (0 K): 435 meV per atom
Calculated total energy: -3.336 eV/atom

Cell and atoms, written as POSCAR:
```
Ba3TiPd
1.0
-4.332 -2.137 -3.816
2.126 -5.723 0.791
-3.822 -0.761 4.766
Ba Pd Ti
3 1 1
direct
0.000 0.000 0.500 Ba
0.000 0.500 0.000 Ba
0.500 0.000 0.000 Ba
0.000 0.000 0.000 Pd
0.500 0.500 0.500 Ti
```

=====

RbNaSiAs2 after structural relaxation, computed with PBE-GGA.

Summary:
Symmetry: No. 12
Calculated total energy: -3.663 eV/atom
Formation energy (no corrections): -0.261 eV per atom

Cell and atoms, written as POSCAR:
```
RbNaSiAs2
1.0
-3.740 1.107 -1.072
1.449 -6.465 -4.101
-3.641 -4.376 8.186
As Rb Si Na
4 2 2 2
direct
0.597 0.193 0.298 As
0.896 0.792 0.063 As
0.403 0.807 0.702 As
0.104 0.208 0.937 As
0.371 0.742 0.348 Rb
0.629 0.258 0.652 Rb
0.949 0.898 0.844 Si
0.051 0.102 0.156 Si
0.296 0.593 0.908 Na
0.704 0.407 0.092 Na
```

=====

ReIr3 after structural relaxation, computed with PBE-GGA.

Summary:
Symmetry: No. 194
Distance to the lowest polymorph of the same formula: 53 meV per atom
ΔH_f (0 K): -98 meV per atom
Calculated total energy: -9.856 eV/atom

Cell and atoms, written as POSCAR:
```
ReIr3
1.0
-5.137 -1.843 -0.632
-1.330 -2.961 -4.432
2.147 -7.479 4.352
Ir Re
12 4
direct
0.168 0.168 0.250 Ir
0.000 0.500 0.500 Ir
0.168 0.664 0.250 Ir
0.336 0.832 0.750 Ir
0.500 0.500 0.500 Ir
0.664 0.168 0.250 Ir
0.500 0.000 0.500 Ir
0.500 0.500 0.000 Ir
0.832 0.832 0.750 Ir
0.000 0.500 0.000 Ir
0.832 0.336 0.750 Ir
0.500 0.000 0.000 Ir
0.000 0.000 0.500 Re
0.667 0.667 0.250 Re
0.333 0.333 0.750 Re
0.000 0.000 0.000 Re
```

=====

Rb3PmTh3Te8 after structural relaxation, computed with PBE-GGA.

Summary:
Symmetry: No. 166
Calculated total energy: -4.911 eV/atom
Formation energy (no corrections): -1.242 eV per atom

Cell and atoms, written as POSCAR:
```
Rb3PmTh3Te8
1.0
8.998 0.000 0.000
-4.498 7.789 -0.034
0.000 -5.156 8.878
Te Th Rb Pm
8 3 3 1
direct
0.237 0.969 0.706 Te
0.237 0.475 0.706 Te
0.737 0.473 0.710 Te
0.763 0.031 0.294 Te
0.763 0.525 0.294 Te
0.732 0.969 0.706 Te
0.263 0.527 0.290 Te
0.268 0.031 0.294 Te
0.500 0.000 0.500 Th
0.500 0.500 0.500 Th
0.000 0.500 0.500 Th
0.000 0.500 0.000 Rb
0.000 0.000 0.000 Rb
0.500 0.500 0.000 Rb
0.000 0.000 0.500 Pm
```

=====

K2LuBr4 after structural relaxation, computed with PBE-GGA.

Summary:
Symmetry: No. 139
Calculated total energy: -3.444 eV/atom
Formation energy (no corrections): -1.529 eV per atom

Cell and atoms, written as POSCAR:
```
K2LuBr4
1.0
5.524 0.000 0.000
0.000 5.524 0.000
2.762 2.762 8.476
K Br Lu
2 4 1
direct
0.641 0.641 0.719 K
0.359 0.359 0.281 K
0.164 0.164 0.671 Br
0.836 0.836 0.329 Br
0.500 0.000 0.000 Br
0.000 0.500 0.000 Br
0.000 0.000 0.000 Lu
```

=====

OsPtPb2 after structural relaxation, computed with PBE-GGA.

Summary:
Symmetry: No. 8
Distance to the lowest polymorph of the same formula: 153 meV per atom
ΔH_f (0 K): 545 meV per atom
Calculated total energy: -5.627 eV/atom

Cell and atoms, written as POSCAR:
```
OsPtPb2
1.0
5.602 -0.009 0.020
4.797 2.894 0.020
1.431 0.397 5.172
Pb Pt Os
2 1 1
direct
0.777 0.777 0.692 Pb
0.970 0.970 0.065 Pb
0.539 0.539 0.534 Pt
0.214 0.214 0.209 Os
```

=====

Q: calculated total energy of number 2 (RuRhSN2)?
A: -6.038 eV/atom

=====

Q: Number 5 is which compound?
A: ReIr3

=====

Q: What is the calculated total energy in the sixth record?
A: -4.911 eV/atom